Computed, not measured: a relaxed structure of Ba8SeS3I4 at the PBE level of DFT.

a b c (Å): 9.8287 9.8287 9.8287
angles (deg): 56.63 56.63 56.63
Atoms (fractional coordinates):
Ba 0.2286 0.7390 0.7390
Ba 0.2342 0.2342 0.2342
Ba 0.2610 0.2610 0.7714
Ba 0.2610 0.7714 0.2610
Ba 0.7390 0.2286 0.7390
Ba 0.7390 0.7390 0.2286
Ba 0.7658 0.7658 0.7658
Ba 0.7714 0.2610 0.2610
Se 0.5000 0.5000 0.5000
S 0.0000 0.0000 0.5000
S 0.0000 0.5000 0.0000
S 0.5000 0.0000 0.0000
I 0.0000 0.0000 0.0000
I 0.0000 0.5000 0.5000
I 0.5000 0.0000 0.5000
I 0.5000 0.5000 0.0000

Computed properties:
energy relative to the elements, uncorrected	-27.5	eV/f.u.
E_tot	-0.2986	Ry per atom
space group	No. 166
V	619	Å³ per cell
total magnetization	0.00	μB/f.u.